[1]
Density functional theory data (PBE) for a geometry-optimized KRbTaTl2 structure.

```
KRbTaTl2
1.0
6.194 0.000 0.000
0.000 6.194 0.000
0.000 0.000 5.969
K Rb Ta Tl
1 1 1 2
Cartesian
0.000 0.000 0.000 K
0.000 0.000 2.985 Rb
3.097 3.097 0.000 Ta
0.000 3.097 2.985 Tl
3.097 0.000 2.985 Tl
```

* Fermi-level density of states: 6.96 states/eV per cell
* space group: P4/mmm (123)
* uncorrected energy: -1.971 eV/atom
* energy of formation: 1.76 eV per atom

[2]
Density functional theory data (PBE) for a geometry-optimized CeB6Ru12 structure.

```
CeB6Ru12
1.0
5.060 2.921 2.711
-5.060 2.921 2.711
0.000 -5.842 2.711
Ce B Ru
1 6 12
Cartesian
0.000 0.000 0.000 Ce
0.000 -2.639 3.140 B
-2.285 1.319 3.140 B
-2.285 -1.319 4.994 B
2.285 1.319 3.140 B
2.285 -1.319 4.994 B
0.000 2.639 4.994 B
-1.861 -3.223 4.067 Ru
-3.721 0.000 4.067 Ru
-1.356 -0.783 2.948 Ru
1.356 -0.783 2.948 Ru
0.000 1.566 2.948 Ru
1.861 -3.223 4.067 Ru
-1.861 3.223 4.067 Ru
0.000 -1.566 5.185 Ru
-1.356 0.783 5.185 Ru
1.356 0.783 5.185 Ru
3.721 0.000 4.067 Ru
1.861 3.223 4.067 Ru
```

* Fermi-level density of states: 15.31 states/eV per cell
* space group: R-3m (166)
* uncorrected energy: -8.518 eV/atom
* energy of formation: -0.24 eV per atom

[3]
Density functional theory data (PBE) for a geometry-optimized Al2SbPbS structure.

```
Al2SbPbS
1.0
4.916 0.000 0.000
0.000 4.916 0.000
0.000 0.000 5.355
Al Sb Pb S
2 1 1 1
Cartesian
0.000 2.458 0.000 Al
2.458 0.000 0.000 Al
0.000 0.000 2.677 Sb
2.458 2.458 2.677 Pb
0.000 0.000 0.000 S
```

* Fermi-level density of states: 4.25 states/eV per cell
* raw formation energy: 303 meV per atom
* space group: P4/mmm (123)
* uncorrected energy: -3.586 eV/atom

[4]
Density functional theory data (PBE) for a geometry-optimized ZnCrCu2 structure.

```
ZnCrCu2
1.0
3.040 0.000 0.000
0.000 3.085 0.000
0.000 0.000 5.676
Zn Cr Cu
1 1 2
Cartesian
0.000 0.000 0.000 Zn
1.520 1.543 1.545 Cr
0.000 0.000 2.974 Cu
1.520 1.543 4.306 Cu
```

* Fermi-level density of states: 1.27 states/eV per cell
* space group: Pmm2 (25)
* uncorrected energy: -4.602 eV/atom
* energy of formation: 0.17 eV per atom

Among the records above, which one has the highest Fermi-level density of states? CeB6Ru12

The lowest Fermi-level density of states belongs to which entry? ZnCrCu2